(1)
An optimized crystal structure of AlCu2SbBr. Source: Alexandria via LeMat-Bulk, functional PBE-GGA.

a b c (Å): 4.6688 4.6688 5.3340
angles (deg): 90.00 90.00 90.00
Space group P4/mmm (No. 123)
Inequivalent atoms, fractional coordinates:
Al 0.0000 0.0000 0.0000 [1 per cell]
Cu 0.0000 0.5000 0.0000 [2 per cell]
Sb 0.5000 0.5000 0.5000 [1 per cell]
Br 0.0000 0.0000 0.5000 [1 per cell]

Computed properties:
Theoretical density in g/cm3: 5.08
Raw total energy in eV/cell: -14.53
Formation energy from raw total energies in meV per atom: 640.3

---

(2)
An optimized crystal structure of AlCuSe2Br. Source: Alexandria via LeMat-Bulk, functional PBE-GGA.

a b c (Å): 4.8063 4.8063 5.1255
angles (deg): 90.00 90.00 90.00
Space group P4/mmm (No. 123)
Inequivalent atoms, fractional coordinates:
Al 0.0000 0.0000 0.0000 [1 per cell]
Cu 0.5000 0.5000 0.5000 [1 per cell]
Se 0.0000 0.5000 0.5000 [2 per cell]
Br 0.5000 0.5000 0.0000 [1 per cell]

Computed properties:
Theoretical density in g/cm3: 4.60
E above lowest polymorph in meV/atom: 65.5
Raw total energy in eV/cell: -15.03
Formation energy from raw total energies in meV per atom: 290.6

---

(3)
An optimized crystal structure of AlCuSeBr2. Source: Alexandria via LeMat-Bulk, functional PBE-GGA.

a b c (Å): 5.0100 5.0100 4.9461
angles (deg): 90.00 90.00 90.00
Space group P4/mmm (No. 123)
Inequivalent atoms, fractional coordinates:
Al 0.0000 0.0000 0.0000 [1 per cell]
Cu 0.5000 0.5000 0.5000 [1 per cell]
Se 0.5000 0.5000 0.0000 [1 per cell]
Br 0.0000 0.5000 0.5000 [2 per cell]

Computed properties:
Theoretical density in g/cm3: 4.40
E above lowest polymorph in meV/atom: 74.2
Raw total energy in eV/cell: -14.06
Formation energy from raw total energies in meV per atom: 121.4

---

(4)
An optimized crystal structure of AlCuSeBr2. Source: Alexandria via LeMat-Bulk, functional PBE-GGA.

a b c (Å): 5.0051 5.0051 5.0435
angles (deg): 90.00 90.00 90.00
Space group P4/mmm (No. 123)
Inequivalent atoms, fractional coordinates:
Al 0.0000 0.0000 0.0000 [1 per cell]
Cu 0.5000 0.5000 0.5000 [1 per cell]
Se 0.0000 0.0000 0.5000 [1 per cell]
Br 0.0000 0.5000 0.0000 [2 per cell]

Computed properties:
Theoretical density in g/cm3: 4.33
E above lowest polymorph in meV/atom: 0.0
Raw total energy in eV/cell: -14.43
Formation energy from raw total energies in meV per atom: 47.3

---

(5)
An optimized crystal structure of AlCuSe2Br. Source: Alexandria via LeMat-Bulk, functional PBE-GGA.

a b c (Å): 4.8907 4.8907 5.0946
angles (deg): 90.00 90.00 90.00
Space group P4/mmm (No. 123)
Inequivalent atoms, fractional coordinates:
Al 0.0000 0.0000 0.0000 [1 per cell]
Cu 0.5000 0.5000 0.5000 [1 per cell]
Se 0.0000 0.5000 0.0000 [2 per cell]
Br 0.0000 0.0000 0.5000 [1 per cell]

Computed properties:
Theoretical density in g/cm3: 4.47
E above lowest polymorph in meV/atom: 0.0
Raw total energy in eV/cell: -15.36
Formation energy from raw total energies in meV per atom: 225.0

---

(6)
An optimized crystal structure of AlCuSi2Br. Source: Alexandria via LeMat-Bulk, functional PBE-GGA.

a b c (Å): 4.8050 4.8050 5.0564
angles (deg): 90.00 90.00 90.00
Space group P4/mmm (No. 123)
Inequivalent atoms, fractional coordinates:
Al 0.0000 0.0000 0.0000 [1 per cell]
Cu 0.5000 0.5000 0.5000 [1 per cell]
Si 0.0000 0.5000 0.0000 [2 per cell]
Br 0.0000 0.0000 0.5000 [1 per cell]

Computed properties:
Theoretical density in g/cm3: 3.22
Raw total energy in eV/cell: -15.77
Formation energy from raw total energies in meV per atom: 917.6